Record 1
Li2P2PdO7 | PBE | optimized geometry

Computed properties:
symmetry	No. 74
VASP energy	-155.53	eV/cell
volume	11.3	A^3/atom

Cell: 5.9063 7.2160 7.8847 Å, 117.23 112.00 90.00°
With the nearest neighbours (Å) after each atom.
Fractional coordinates of all 24 atoms:
Li  0.2308  0.2308  0.4617  4 O 1.99-2.00
Li  0.2308  0.7308  0.4617  4 O 1.99-2.00
Li  0.7692  0.2692  0.5383  4 O 1.99-2.00
Li  0.7692  0.7692  0.5383  4 O 1.99-2.00
O  0.5147  0.2500  0.0000  2 P 1.62
O  0.4853  0.7500  0.0000  2 P 1.62
O  0.3330  0.0475  0.2342  1 P 1.55
O  0.9011  0.1866  0.2342  1 P 1.55
O  0.9011  0.5475  0.2342  1 P 1.55
O  0.3330  0.6866  0.2342  1 P 1.55
O  0.6761  0.4514  0.4028  1 P 1.50
O  0.7268  0.9514  0.4028  1 P 1.50
O  0.2732  0.0486  0.5972  1 P 1.50
O  0.3239  0.5486  0.5972  1 P 1.50
O  0.6670  0.3134  0.7658  1 P 1.55
O  0.0989  0.4525  0.7658  1 P 1.55
O  0.0989  0.8134  0.7658  1 P 1.55
O  0.6670  0.9525  0.7658  1 P 1.55
P  0.7547  0.3627  0.2253  4 O 1.50-1.62
P  0.4707  0.8627  0.2253  4 O 1.50-1.62
P  0.5293  0.1373  0.7747  4 O 1.50-1.62
P  0.2453  0.6373  0.7747  4 O 1.50-1.62
Pd  0.0000  0.0000  0.0000  4 O 2.02
Pd  0.0000  0.5000  0.0000  4 O 2.02

Record 2
LiPPdO | PBE | optimized geometry

Computed properties:
symmetry	No. 129
VASP energy	-34.40	eV/cell
offset from the most stable computed form	713	meV per atom
volume	12.4	A^3/atom

Cell: 3.5339 3.5339 7.9597 Å, 90.00 90.00 90.00°
With the nearest neighbours (Å) after each atom.
Fractional coordinates of all 8 atoms:
Li  0.5000  0.0000  0.5000  4 P 2.49, 4 Li 2.50
Li  0.0000  0.5000  0.5000  4 P 2.49, 4 Li 2.50
O  0.5000  0.0000  0.0000  4 Pd 2.21
O  0.0000  0.5000  0.0000  4 Pd 2.21
P  0.5000  0.5000  0.2797  4 Li 2.49, 4 Pd 2.66
P  0.0000  0.0000  0.7203  4 Li 2.49, 4 Pd 2.66
Pd  0.0000  0.0000  0.1667  4 O 2.21
Pd  0.5000  0.5000  0.8333  4 O 2.21

Record 3
LiPPdO | PBE | optimized geometry

Computed properties:
symmetry	No. 26
VASP energy	-40.10	eV/cell
offset from the most stable computed form	0	meV per atom
volume	12.7	A^3/atom

Cell: 3.5510 6.5650 4.3653 Å, 90.00 90.00 90.00°
With the nearest neighbours (Å) after each atom.
Fractional coordinates of all 8 atoms:
Li  0.0000  0.8203  0.4406  2 O 1.80
Li  0.0000  0.1797  0.9406  2 O 1.80
O  0.5000  0.8671  0.4387  2 Li 1.80
O  0.5000  0.1329  0.9387  2 Li 1.80
P  0.0000  0.4282  0.4361  2 Pd 2.32, 2 P 2.38, 1 Li 2.57
P  0.0000  0.5718  0.9361  2 Pd 2.32, 2 P 2.38, 1 Li 2.57
Pd  0.5000  0.2014  0.4387  3 O 2.19-2.23, 2 P 2.32
Pd  0.5000  0.7986  0.9387  3 O 2.19-2.23, 2 P 2.32